Nd2Tl3CrSe6: optimized geometry, PBE.

Computed properties:
The uncorrected formation energy is -1.023 eV/atom. Its total energy is -0.1820 Ha/atom. The value obtained for the size of the total moment is 3.00 μB per formula unit.

abc: 7.205 12.450 8.075
angles: 90.00 107.23 90.00
Space group C2/m (No. 12)
Unique sites:
Nd1 0.000 0.166 0.000 x4
Tl1 0.000 0.000 0.500 x2
Tl2 0.000 0.324 0.500 x4
Cr1 0.000 0.500 0.000 x2
Se1 0.215 0.351 0.197 x8
Se2 0.230 0.500 0.792 x4



IrPtS4: optimized geometry, PBE.

Computed properties:
For the relative energy among the computed polymorphs, the calculation gives 146 meV/atom. The uncorrected formation energy is -0.164 eV/atom. Its total energy is -0.1984 Ha/atom. The value obtained for the size of the total moment is 0.00 μB per formula unit.

abc: 5.837 5.835 5.827
angles: 90.00 90.69 90.00
Space group P2_1/c (No. 14)
Unique sites:
Ir1 0.000 0.000 0.000 x2
Pt1 0.500 0.000 0.500 x2
S1 0.127 0.136 0.638 x4
S2 0.362 0.631 0.628 x4



Pu6Te5I: optimized geometry, PBE.

Computed properties:
The uncorrected formation energy is -0.998 eV/atom. Its total energy is -0.3529 Ha/atom. The value obtained for the size of the total moment is 35.78 μB per formula unit.

abc: 7.689 13.334 7.695
angles: 90.00 109.50 90.00
Space group C2/m (No. 12)
Unique sites:
Pu1 0.245 0.000 0.252 x4
Pu2 0.246 0.169 0.746 x8
Te1 0.000 0.000 0.500 x2
Te2 0.000 0.167 0.000 x4
Te3 0.000 0.336 0.500 x4
I1 0.000 0.500 0.000 x2



Copy entry 3 word for word.
Pu6Te5I: optimized geometry, PBE.

Computed properties:
The uncorrected formation energy is -0.998 eV/atom. Its total energy is -0.3529 Ha/atom. The value obtained for the size of the total moment is 35.78 μB per formula unit.

abc: 7.689 13.334 7.695
angles: 90.00 109.50 90.00
Space group C2/m (No. 12)
Unique sites:
Pu1 0.245 0.000 0.252 x4
Pu2 0.246 0.169 0.746 x8
Te1 0.000 0.000 0.500 x2
Te2 0.000 0.167 0.000 x4
Te3 0.000 0.336 0.500 x4
I1 0.000 0.500 0.000 x2



Which value of size of the total moment does entry 2 give? 0.00 μB per formula unit